[1]
A geometry-optimized BeTeC3 structure, computed with PBEsol.

Cell: 3.734 3.734 3.734 Å, 90.00 90.00 90.00°
Fractional coordinates of all 5 atoms:
Be (0.000, 0.000, 0.000)
C (0.000, 0.500, 0.000)
C (0.000, 0.000, 0.500)
C (0.500, 0.000, 0.000)
Te (0.500, 0.500, 0.500)

Summary:
Crystal system: cubic
E_form (uncorrected) (meV per atom): 2408
SG: Pm-3m


[2]
A geometry-optimized Ti2BeC structure, computed with PBEsol.

Cell: 3.919 3.919 3.919 Å, 60.00 60.00 60.00°
Fractional coordinates of all 4 atoms:
Be (0.000, 0.000, 0.000)
C (0.500, 0.500, 0.500)
Ti (0.250, 0.250, 0.250)
Ti (0.750, 0.750, 0.750)

Summary:
Crystal system: cubic
ΔH_f (0 K) (eV/atom): 0.325
SG: Fm-3m


[3]
A geometry-optimized BeTlC2 structure, computed with PBEsol.

Cell: 4.036 4.036 4.036 Å, 60.00 60.00 60.00°
Fractional coordinates of all 4 atoms:
Be (0.000, 0.000, 0.000)
Tl (0.500, 0.500, 0.500)
C (0.250, 0.250, 0.250)
C (0.750, 0.750, 0.750)

Summary:
Crystal system: cubic
ΔH_f (0 K) (eV/atom): 2.474
SG: Fm-3m


[4]
A geometry-optimized BeW2C structure, computed with PBEsol.

Cell: 3.945 3.945 3.945 Å, 60.00 60.00 60.00°
Fractional coordinates of all 4 atoms:
Be (0.000, 0.000, 0.000)
C (0.500, 0.500, 0.500)
W (0.250, 0.250, 0.250)
W (0.750, 0.750, 0.750)

Summary:
Crystal system: cubic
ΔH_f (0 K) (eV/atom): 0.845
SG: Fm-3m


[5]
A geometry-optimized Y2BeC structure, computed with PBEsol.

Cell: 4.514 4.514 4.514 Å, 60.00 60.00 60.00°
Fractional coordinates of all 4 atoms:
Y (0.250, 0.250, 0.250)
Y (0.750, 0.750, 0.750)
Be (0.000, 0.000, 0.000)
C (0.500, 0.500, 0.500)

Summary:
Crystal system: cubic
ΔH_f (0 K) (eV/atom): 0.461
SG: Fm-3m


[6]
A geometry-optimized CaBe structure, computed with PBEsol.

Cell: 3.807 3.807 3.931 Å, 90.00 90.00 120.00°
Fractional coordinates of all 2 atoms:
Be (0.000, 0.000, 0.000)
Ca (0.333, 0.667, 0.500)

Summary:
Crystal system: hexagonal
ΔH_f (0 K) (eV/atom): 0.719
SG: P-6m2


[7]
A geometry-optimized Ca3Be structure, computed with PBEsol.

Cell: 3.625 3.625 9.210 Å, 90.00 90.00 90.00°
Fractional coordinates of all 4 atoms:
Be (0.000, 0.000, 0.000)
Ca (0.500, 0.500, 0.820)
Ca (0.000, 0.000, 0.500)
Ca (0.500, 0.500, 0.180)

Summary:
Crystal system: tetragonal
ΔH_f (0 K) (eV/atom): 0.210
SG: P4/mmm


[8]
A geometry-optimized Ca3Be structure, computed with PBEsol.

Cell: 4.883 4.938 4.938 Å, 90.00 90.00 90.00°
Fractional coordinates of all 4 atoms:
Be (0.922, 0.000, 0.000)
Ca (0.415, 0.500, 0.000)
Ca (0.916, 0.500, 0.500)
Ca (0.415, 0.000, 0.500)

Summary:
Crystal system: tetragonal
ΔH_f (0 K) (eV/atom): 0.382
SG: P4mm


[9]
A geometry-optimized CaBe13 structure, computed with PBEsol.

Cell: 7.212 7.212 7.212 Å, 60.00 60.00 60.00°
Fractional coordinates of all 28 atoms:
Be (0.500, 0.500, 0.500)
Be (0.000, 0.000, 0.000)
Be (0.789, 0.211, 0.565)
Be (0.435, 0.565, 0.211)
Be (0.565, 0.435, 0.789)
Be (0.211, 0.789, 0.435)
Be (0.789, 0.435, 0.211)
Be (0.435, 0.789, 0.565)
Be (0.565, 0.211, 0.435)
Be (0.211, 0.565, 0.789)
Be (0.789, 0.565, 0.435)
Be (0.435, 0.211, 0.789)
Be (0.565, 0.789, 0.211)
Be (0.211, 0.435, 0.565)
Be (0.065, 0.289, 0.935)
Be (0.711, 0.935, 0.289)
Be (0.289, 0.065, 0.711)
Be (0.935, 0.711, 0.065)
Be (0.935, 0.065, 0.289)
Be (0.289, 0.711, 0.935)
Be (0.711, 0.289, 0.065)
Be (0.065, 0.935, 0.711)
Be (0.289, 0.935, 0.065)
Be (0.935, 0.289, 0.711)
Be (0.065, 0.711, 0.289)
Be (0.711, 0.065, 0.935)
Ca (0.250, 0.250, 0.250)
Ca (0.750, 0.750, 0.750)

Summary:
Crystal system: cubic
ΔH_f (0 K) (eV/atom): -0.094
SG: Fm-3c


[10]
A geometry-optimized Ca3Be2 structure, computed with PBEsol.

Cell: 4.852 4.852 6.276 Å, 90.00 90.00 120.00°
Fractional coordinates of all 5 atoms:
Be (0.333, 0.667, 0.885)
Be (0.667, 0.333, 0.115)
Ca (0.000, 0.000, 0.000)
Ca (0.333, 0.667, 0.334)
Ca (0.667, 0.333, 0.666)

Summary:
Crystal system: trigonal
ΔH_f (0 K) (eV/atom): 0.353
SG: P-3m1


[11]
A geometry-optimized CaBeCd2 structure, computed with PBEsol.

Cell: 4.783 4.790 4.811 Å, 119.86 119.81 90.00°
Fractional coordinates of all 4 atoms:
Be (0.000, 0.500, 0.000)
Ca (0.500, 0.000, 0.000)
Cd (0.750, 0.750, 0.500)
Cd (0.250, 0.250, 0.500)

Summary:
Crystal system: tetragonal
ΔH_f (0 K) (eV/atom): 0.084
SG: I4/mmm


[12]
A geometry-optimized Ca2BeCd structure, computed with PBEsol.

Cell: 4.171 4.433 5.950 Å, 90.00 110.52 90.00°
Fractional coordinates of all 4 atoms:
Be (0.569, 0.500, 0.138)
Ca (0.978, 0.000, 0.956)
Ca (0.273, 0.500, 0.546)
Cd (0.682, 0.000, 0.364)

Summary:
Crystal system: orthorhombic
ΔH_f (0 K) (eV/atom): 0.030
SG: Amm2


[13]
A geometry-optimized Ca2TiBeCd structure, computed with PBEsol.

Cell: 5.087 5.596 5.596 Å, 90.00 90.00 90.00°
Each line ends with the local moment (μB).
Fractional coordinates of all 5 atoms:
Be (0.500, 0.500, 0.500)  -0.01
Ca (0.000, 0.000, 0.500)  0.14
Ca (0.000, 0.500, 0.000)  0.14
Ti (0.000, 0.000, 0.000)  1.75
Cd (0.500, 0.000, 0.000)  0.05

Summary:
Crystal system: tetragonal
ΔH_f (0 K) (eV/atom): 1.215
SG: P4/mmm


[14]
A geometry-optimized CaBe2Cl structure, computed with PBEsol.

Cell: 4.825 4.825 4.825 Å, 60.00 60.00 60.00°
Fractional coordinates of all 4 atoms:
Be (0.250, 0.250, 0.250)
Be (0.750, 0.750, 0.750)
Ca (0.000, 0.000, 0.000)
Cl (0.500, 0.500, 0.500)

Summary:
Crystal system: cubic
E_form (uncorrected) (meV per atom): 776
SG: Fm-3m


[15]
A geometry-optimized Ca2Be2Cl structure, computed with PBEsol.

Cell: 5.222 5.222 5.222 Å, 99.50 114.67 114.67°
Fractional coordinates of all 5 atoms:
Be (0.000, 0.640, 0.640)
Be (0.000, 0.360, 0.360)
Ca (0.500, 0.750, 0.250)
Ca (0.500, 0.250, 0.750)
Cl (0.000, 0.000, 0.000)

Summary:
Crystal system: tetragonal
E_form (uncorrected) (meV per atom): 159
SG: I4/mmm


[16]
A geometry-optimized Ca2BeCl structure, computed with PBEsol.

Cell: 6.562 6.562 6.562 Å, 104.66 111.93 111.93°
Fractional coordinates of all 8 atoms:
Be (0.000, 0.500, 0.500)
Be (0.500, 0.250, 0.750)
Ca (0.006, 0.631, 0.125)
Ca (0.994, 0.119, 0.625)
Ca (0.494, 0.375, 0.369)
Ca (0.506, 0.875, 0.881)
Cl (0.000, 0.000, 0.000)
Cl (0.500, 0.750, 0.250)

Summary:
Crystal system: tetragonal
E_form (uncorrected) (meV per atom): -377
SG: I-42d


[17]
A geometry-optimized CaBe2Cl structure, computed with PBEsol.

Cell: 4.072 5.171 5.311 Å, 119.13 112.54 90.00°
Fractional coordinates of all 4 atoms:
Be (0.136, 0.136, 0.272)
Be (0.688, 0.188, 0.377)
Ca (0.478, 0.478, 0.957)
Cl (0.197, 0.697, 0.394)

Summary:
Crystal system: orthorhombic
E_form (uncorrected) (meV per atom): 135
SG: Imm2


[18]
A geometry-optimized Ca2BeCl structure, computed with PBEsol.

Cell: 3.476 3.668 8.119 Å, 103.05 102.36 90.00°
Fractional coordinates of all 4 atoms:
Be (0.199, 0.699, 0.398)
Ca (0.057, 0.057, 0.113)
Ca (0.790, 0.290, 0.579)
Cl (0.455, 0.455, 0.909)

Summary:
Crystal system: orthorhombic
E_form (uncorrected) (meV per atom): -489
SG: Imm2


[19]
A geometry-optimized CaBe2Cl structure, computed with PBEsol.

Cell: 3.103 4.095 5.931 Å, 90.00 90.00 90.00°
Fractional coordinates of all 4 atoms:
Be (0.000, 0.000, 0.000)
Be (0.500, 0.500, 0.000)
Ca (0.500, 0.000, 0.500)
Cl (0.000, 0.500, 0.500)

Summary:
Crystal system: orthorhombic
E_form (uncorrected) (meV per atom): 65
SG: Pmmm


[20]
A geometry-optimized Ca2BeCl structure, computed with PBEsol.

Cell: 3.454 3.677 7.881 Å, 90.06 90.00 90.00°
Fractional coordinates of all 4 atoms:
Be (0.500, 0.500, 0.000)
Ca (0.000, 0.000, 0.781)
Ca (0.000, 0.000, 0.219)
Cl (0.500, 0.000, 0.500)

Summary:
Crystal system: monoclinic
E_form (uncorrected) (meV per atom): -602
SG: P2/m


Number 1: calculated volume 10.41 Å³/atom, N(E_F) 0.47 states/eV per atom. Number 2: calculated volume 10.64 Å³/atom, N(E_F) 1.25 states/eV per atom. Number 3: calculated volume 11.62 Å³/atom, N(E_F) 0.54 states/eV per atom. Number 4: calculated volume 10.85 Å³/atom, N(E_F) 0.51 states/eV per atom. Number 5: calculated volume 16.26 Å³/atom, N(E_F) 0.44 states/eV per atom. Number 6: calculated volume 24.66 Å³/atom, N(E_F) 0.68 states/eV per atom. Number 7: calculated volume 30.25 Å³/atom, N(E_F) 0.96 states/eV per atom. Number 8: calculated volume 29.76 Å³/atom, N(E_F) 1.49 states/eV per atom. Number 9: calculated volume 9.48 Å³/atom, N(E_F) 0.09 states/eV per atom. Number 10: calculated volume 25.59 Å³/atom, N(E_F) 0.67 states/eV per atom. Number 11: calculated volume 19.58 Å³/atom, N(E_F) 0.39 states/eV per atom. Number 12: calculated volume 25.76 Å³/atom, N(E_F) 0.88 states/eV per atom. Number 13: calculated volume 31.86 Å³/atom, N(E_F) 1.22 states/eV per atom. Number 14: calculated volume 19.86 Å³/atom, N(E_F) 0.61 states/eV per atom. Number 15: calculated volume 21.44 Å³/atom, N(E_F) 0.55 states/eV per atom. Number 16: calculated volume 27.04 Å³/atom, N(E_F) 0.44 states/eV per atom. Number 17: calculated volume 21.94 Å³/atom, N(E_F) 0.59 states/eV per atom. Number 18: calculated volume 24.59 Å³/atom, N(E_F) 0.71 states/eV per atom. Number 19: calculated volume 18.84 Å³/atom, N(E_F) 0.65 states/eV per atom. Number 20: calculated volume 25.02 Å³/atom, N(E_F) 0.69 states/eV per atom.